# LiGaCoAs2 PBE optimized geometry
data_LiGaCoAs2
_space_group_name_H-M_alt 'P 4/m m m'
_space_group_IT_number 123
_space_group_name_Hall '-P 4 2'
_cell_length_a 4.8767
_cell_length_b 4.8767
_cell_length_c 4.4929
_cell_angle_alpha 90.00
_cell_angle_beta 90.00
_cell_angle_gamma 90.00
loop_
_atom_site_label
_atom_site_fract_x
_atom_site_fract_y
_atom_site_fract_z
Li1 0.0000 0.0000 0.0000
Ga1 0.0000 0.0000 0.5000
Co1 0.5000 0.5000 0.0000
As1 0.0000 0.5000 0.5000
# - DFT formation energy: 82.1 kJ/mol of atoms